(1)
Crystalline Sc4Tl3Pt at its relaxed geometry. Source: Alexandria via LeMat-Bulk, functional PBE.

total magnetization	0.343	μB per formula unit
SG	No. 123
calculated formation energy	-0.50	eV per atom

Structure (POSCAR):
```
Sc4Tl3Pt
1.0
3.425 0.000 0.000
0.000 3.425 0.000
0.000 0.000 15.055
Sc Tl Pt
4 3 1
direct
0.000 0.000 0.897
0.000 0.000 0.103
0.000 0.000 0.368
0.000 0.000 0.632
0.500 0.500 0.238
0.500 0.500 0.500
0.500 0.500 0.762
0.500 0.500 0.000
```


(2)
Crystalline Ac4CuGe at its relaxed geometry. Source: Alexandria via LeMat-Bulk, functional PBE.

total magnetization	0.000	μB per formula unit
SG	No. 12
calculated formation energy	-0.13	eV per atom

Structure (POSCAR):
```
Ac4CuGe
1.0
-3.826 -3.079 2.103
2.192 0.581 4.839
-4.281 6.141 1.212
Ac Cu Ge
4 1 1
direct
0.501 0.997 0.253
0.501 0.998 0.743
0.002 0.497 0.743
0.001 0.497 0.253
0.001 0.997 0.498
0.501 0.497 0.998
```


> Among the records above, which one has the lowest calculated formation energy?

Sc4Tl3Pt


> Which value of calculated formation energy does entry 1 give?

-0.50 eV per atom